Record 1
Entry from the Alexandria database: a geometry-optimized Pu2ThReC4 structure (PBE-GGA).

CIF file:
```
data_Pu2ThReC4
_chemical_formula_sum 'Pu4 Th2 Re2 C8'
_cell_length_a 6.2323
_cell_length_b 6.2323
_cell_length_c 12.2470
_cell_angle_alpha 90.00
_cell_angle_beta 90.00
_cell_angle_gamma 147.56
_space_group_name_H-M_alt 'P 1'
_space_group_IT_number 1
loop_
_space_group_symop_operation_xyz
'x,y,z'
loop_
_atom_site_label
_atom_site_type_symbol
_atom_site_fract_x
_atom_site_fract_y
_atom_site_fract_z
_atom_site_occupancy
Pu1 Pu 0.1313 0.8687 0.5391 1
Pu2 Pu 0.1313 0.8687 0.9609 1
Pu3 Pu 0.8687 0.1313 0.0391 1
Pu4 Pu 0.8687 0.1313 0.4609 1
Th1 Th 0.3997 0.6003 0.7500 1
Th2 Th 0.6003 0.3997 0.2500 1
Re1 Re 0.3393 0.6607 0.2500 1
Re2 Re 0.6607 0.3393 0.7500 1
C1 C 0.0662 0.9338 0.7500 1
C2 C 0.2373 0.7627 0.1279 1
C3 C 0.2373 0.7627 0.3721 1
C4 C 0.5000 0.5000 0.0000 1
C5 C 0.5000 0.5000 0.5000 1
C6 C 0.7627 0.2373 0.6279 1
C7 C 0.7627 0.2373 0.8721 1
C8 C 0.9338 0.0662 0.2500 1
```

As for the uncorrected energy: -10.66 eV/atom. The value obtained for the volume is 255.2 Å³/cell. The crystal system is orthorhombic. Its space-group type is No. 63. For the total magnetization, the calculation gives 18.5 μB/cell.

Record 2
Entry from the Alexandria database: a geometry-optimized CaBe3Ge3 structure (PBE-GGA).

CIF file:
```
data_CaBe3Ge3
_chemical_formula_sum 'Ca2 Be6 Ge6'
_cell_length_a 6.3645
_cell_length_b 6.3645
_cell_length_c 6.3645
_cell_angle_alpha 90.00
_cell_angle_beta 90.00
_cell_angle_gamma 90.00
_space_group_name_H-M_alt 'P 1'
_space_group_IT_number 1
loop_
_space_group_symop_operation_xyz
'x,y,z'
loop_
_atom_site_label
_atom_site_type_symbol
_atom_site_fract_x
_atom_site_fract_y
_atom_site_fract_z
_atom_site_occupancy
Ca1 Ca 0.0000 0.0000 0.0000 1
Ca2 Ca 0.5000 0.5000 0.5000 1
Be1 Be 0.0000 0.2500 0.5000 1
Be2 Be 0.0000 0.7500 0.5000 1
Be3 Be 0.2500 0.5000 0.0000 1
Be4 Be 0.5000 0.0000 0.2500 1
Be5 Be 0.5000 0.0000 0.7500 1
Be6 Be 0.7500 0.5000 0.0000 1
Ge1 Ge 0.0000 0.5000 0.2500 1
Ge2 Ge 0.0000 0.5000 0.7500 1
Ge3 Ge 0.2500 0.0000 0.5000 1
Ge4 Ge 0.5000 0.2500 0.0000 1
Ge5 Ge 0.5000 0.7500 0.0000 1
Ge6 Ge 0.7500 0.0000 0.5000 1
```

As for the uncorrected energy: -3.69 eV/atom. The value obtained for the volume is 257.8 Å³/cell. The crystal system is cubic. Its space-group type is No. 223. For the total magnetization, the calculation gives 0.0 μB/cell.

Record 3
Entry from the Alexandria database: a geometry-optimized La2Pm8Nd3 structure (PBE-GGA).

CIF file:
```
data_La2Pm8Nd3
_chemical_formula_sum 'La2 Pm8 Nd3'
_cell_length_a 11.2517
_cell_length_b 11.2517
_cell_length_c 5.7693
_cell_angle_alpha 90.02
_cell_angle_beta 90.02
_cell_angle_gamma 40.29
_space_group_name_H-M_alt 'P 1'
_space_group_IT_number 1
loop_
_space_group_symop_operation_xyz
'x,y,z'
loop_
_atom_site_label
_atom_site_type_symbol
_atom_site_fract_x
_atom_site_fract_y
_atom_site_fract_z
_atom_site_occupancy
La1 La 0.2428 0.2428 0.4990 1
La2 La 0.7572 0.7572 0.5010 1
Pm1 Pm 0.1310 0.1310 0.9996 1
Pm2 Pm 0.1863 0.6038 0.4999 1
Pm3 Pm 0.3340 0.3340 0.9995 1
Pm4 Pm 0.3962 0.8137 0.5001 1
Pm5 Pm 0.6038 0.1863 0.4999 1
Pm6 Pm 0.6660 0.6660 0.0005 1
Pm7 Pm 0.8137 0.3962 0.5001 1
Pm8 Pm 0.8690 0.8690 0.0004 1
Nd1 Nd 0.0000 0.0000 0.5000 1
Nd2 Nd 0.2894 0.7106 0.0000 1
Nd3 Nd 0.7106 0.2894 0.0000 1
```

As for the uncorrected energy: -4.57 eV/atom. The value obtained for the volume is 472.3 Å³/cell. The crystal system is monoclinic. Its space-group type is No. 12. Its energy above the lowest structure with this stoichiometry is 67 meV per atom. For the total magnetization, the calculation gives 0.0 μB/cell.

Record 4
Entry from the Alexandria database: a geometry-optimized LiRu2W structure (PBE-GGA).

CIF file:
```
data_LiRu2W
_chemical_formula_sum 'Li1 Ru2 W1'
_cell_length_a 4.3794
_cell_length_b 4.3794
_cell_length_c 4.9739
_cell_angle_alpha 95.16
_cell_angle_beta 95.16
_cell_angle_gamma 36.30
_space_group_name_H-M_alt 'P 1'
_space_group_IT_number 1
loop_
_space_group_symop_operation_xyz
'x,y,z'
loop_
_atom_site_label
_atom_site_type_symbol
_atom_site_fract_x
_atom_site_fract_y
_atom_site_fract_z
_atom_site_occupancy
Li1 Li 0.0000 0.0000 0.0000 1
Ru1 Ru 0.2485 0.2485 0.7668 1
Ru2 Ru 0.7515 0.7515 0.2332 1
W1 W 0.5000 0.5000 0.5000 1
```

As for the uncorrected energy: -8.17 eV/atom. The value obtained for the volume is 56.2 Å³/cell. The crystal system is monoclinic. Its space-group type is No. 12. Its energy above the lowest structure with this stoichiometry is 241 meV per atom. For the total magnetization, the calculation gives 0.0 μB/cell.

Record 5
Entry from the Alexandria database: a geometry-optimized PmMgI2 structure (PBE-GGA).

CIF file:
```
data_PmMgI2
_chemical_formula_sum 'Pm1 Mg1 I2'
_cell_length_a 10.2566
_cell_length_b 10.2566
_cell_length_c 10.2566
_cell_angle_alpha 22.62
_cell_angle_beta 22.62
_cell_angle_gamma 22.62
_space_group_name_H-M_alt 'P 1'
_space_group_IT_number 1
loop_
_space_group_symop_operation_xyz
'x,y,z'
loop_
_atom_site_label
_atom_site_type_symbol
_atom_site_fract_x
_atom_site_fract_y
_atom_site_fract_z
_atom_site_occupancy
Pm1 Pm 0.0000 0.0000 0.0000 1
Mg1 Mg 0.5000 0.5000 0.5000 1
I1 I 0.1068 0.1068 0.1068 1
I2 I 0.8932 0.8932 0.8932 1
```

As for the uncorrected energy: -2.82 eV/atom. The value obtained for the volume is 140.0 Å³/cell. The crystal system is trigonal. Its space-group type is No. 166. The energy relative to the elements, uncorrected comes out at -458.7 meV per atom. For the total magnetization, the calculation gives 0.0 μB/cell.

Record 6
Entry from the Alexandria database: a geometry-optimized CdNi4Pd structure (PBE-GGA).

CIF file:
```
data_CdNi4Pd
_chemical_formula_sum 'Cd1 Ni4 Pd1'
_cell_length_a 4.8064
_cell_length_b 4.8064
_cell_length_c 4.8064
_cell_angle_alpha 60.00
_cell_angle_beta 60.00
_cell_angle_gamma 60.00
_space_group_name_H-M_alt 'P 1'
_space_group_IT_number 1
loop_
_space_group_symop_operation_xyz
'x,y,z'
loop_
_atom_site_label
_atom_site_type_symbol
_atom_site_fract_x
_atom_site_fract_y
_atom_site_fract_z
_atom_site_occupancy
Cd1 Cd 0.0000 0.0000 0.0000 1
Ni1 Ni 0.3754 0.3754 0.3754 1
Ni2 Ni 0.3754 0.3754 0.8739 1
Ni3 Ni 0.3754 0.8739 0.3754 1
Ni4 Ni 0.8739 0.3754 0.3754 1
Pd1 Pd 0.7500 0.7500 0.7500 1
```

As for the uncorrected energy: -4.86 eV/atom. The value obtained for the volume is 78.5 Å³/cell. The crystal system is cubic. Its space-group type is No. 216. For the total magnetization, the calculation gives 1.2 μB/cell.

Record 7
Entry from the Alexandria database: a geometry-optimized Li3Er2AlSe6 structure (PBE-GGA).

CIF file:
```
data_Li3Er2AlSe6
_chemical_formula_sum 'Li3 Er2 Al1 Se6'
_cell_length_a 6.8377
_cell_length_b 6.8377
_cell_length_c 6.8409
_cell_angle_alpha 99.53
_cell_angle_beta 99.53
_cell_angle_gamma 120.03
_space_group_name_H-M_alt 'P 1'
_space_group_IT_number 1
loop_
_space_group_symop_operation_xyz
'x,y,z'
loop_
_atom_site_label
_atom_site_type_symbol
_atom_site_fract_x
_atom_site_fract_y
_atom_site_fract_z
_atom_site_occupancy
Li1 Li 0.0000 0.0000 0.0000 1
Li2 Li 0.3391 0.6609 0.0000 1
Li3 Li 0.6609 0.3391 0.0000 1
Er1 Er 0.1674 0.8326 0.5000 1
Er2 Er 0.8326 0.1674 0.5000 1
Al1 Al 0.5000 0.5000 0.5000 1
Se1 Se 0.1080 0.4186 0.2556 1
Se2 Se 0.2700 0.2700 0.7386 1
Se3 Se 0.4186 0.1080 0.2556 1
Se4 Se 0.5814 0.8920 0.7444 1
Se5 Se 0.7300 0.7300 0.2614 1
Se6 Se 0.8920 0.5814 0.7444 1
```

As for the uncorrected energy: -4.73 eV/atom. The value obtained for the volume is 261.3 Å³/cell. The crystal system is monoclinic. Its space-group type is No. 12. The energy relative to the elements, uncorrected comes out at -1439.4 meV per atom. For the total magnetization, the calculation gives 0.0 μB/cell.

Record 8
Entry from the Alexandria database: a geometry-optimized InRe2O2 structure (PBE-GGA).

CIF file:
```
data_InRe2O2
_chemical_formula_sum 'In2 Re4 O4'
_cell_length_a 7.3386
_cell_length_b 7.3386
_cell_length_c 2.6656
_cell_angle_alpha 90.00
_cell_angle_beta 90.00
_cell_angle_gamma 90.00
_space_group_name_H-M_alt 'P 1'
_space_group_IT_number 1
loop_
_space_group_symop_operation_xyz
'x,y,z'
loop_
_atom_site_label
_atom_site_type_symbol
_atom_site_fract_x
_atom_site_fract_y
_atom_site_fract_z
_atom_site_occupancy
In1 In 0.0000 0.0000 0.0000 1
In2 In 0.5000 0.5000 0.0000 1
Re1 Re 0.1219 0.3781 0.5000 1
Re2 Re 0.3781 0.8781 0.5000 1
Re3 Re 0.6219 0.1219 0.5000 1
Re4 Re 0.8781 0.6219 0.5000 1
O1 O 0.1154 0.6154 0.0000 1
O2 O 0.3846 0.1154 0.0000 1
O3 O 0.6154 0.8846 0.0000 1
O4 O 0.8846 0.3846 0.0000 1
```

As for the uncorrected energy: -7.11 eV/atom. The value obtained for the volume is 143.6 Å³/cell. The crystal system is tetragonal. Its space-group type is No. 127. Its energy above the lowest structure with this stoichiometry is 162 meV per atom. The energy relative to the elements, uncorrected comes out at 404.5 meV per atom. For the total magnetization, the calculation gives 0.0 μB/cell.

Record 9
Entry from the Alexandria database: a geometry-optimized SrGa4Ge structure (PBE-GGA).

CIF file:
```
data_SrGa4Ge
_chemical_formula_sum 'Sr1 Ga4 Ge1'
_cell_length_a 5.6969
_cell_length_b 5.6969
_cell_length_c 5.6969
_cell_angle_alpha 60.00
_cell_angle_beta 60.00
_cell_angle_gamma 60.00
_space_group_name_H-M_alt 'P 1'
_space_group_IT_number 1
loop_
_space_group_symop_operation_xyz
'x,y,z'
loop_
_atom_site_label
_atom_site_type_symbol
_atom_site_fract_x
_atom_site_fract_y
_atom_site_fract_z
_atom_site_occupancy
Sr1 Sr 0.0000 0.0000 0.0000 1
Ga1 Ga 0.1278 0.6241 0.6241 1
Ga2 Ga 0.6241 0.1278 0.6241 1
Ga3 Ga 0.6241 0.6241 0.1278 1
Ga4 Ga 0.6241 0.6241 0.6241 1
Ge1 Ge 0.2500 0.2500 0.2500 1
```

As for the uncorrected energy: -3.18 eV/atom. The value obtained for the volume is 130.7 Å³/cell. The crystal system is cubic. Its space-group type is No. 216. For the total magnetization, the calculation gives 0.0 μB/cell.

Record 10
Entry from the Alexandria database: a geometry-optimized YGeIO2 structure (PBE-GGA).

CIF file:
```
data_YGeIO2
_chemical_formula_sum 'Y1 Ge1 I1 O2'
_cell_length_a 4.3842
_cell_length_b 4.3842
_cell_length_c 6.1646
_cell_angle_alpha 90.00
_cell_angle_beta 90.00
_cell_angle_gamma 90.00
_space_group_name_H-M_alt 'P 1'
_space_group_IT_number 1
loop_
_space_group_symop_operation_xyz
'x,y,z'
loop_
_atom_site_label
_atom_site_type_symbol
_atom_site_fract_x
_atom_site_fract_y
_atom_site_fract_z
_atom_site_occupancy
Y1 Y 0.0000 0.0000 0.0000 1
Ge1 Ge 0.5000 0.5000 0.5000 1
I1 I 0.0000 0.0000 0.5000 1
O1 O 0.0000 0.5000 0.0000 1
O2 O 0.5000 0.0000 0.0000 1
```

As for the uncorrected energy: -5.55 eV/atom. The value obtained for the volume is 118.5 Å³/cell. The crystal system is tetragonal. Its space-group type is No. 123. Its energy above the lowest structure with this stoichiometry is 0 meV per atom. The energy relative to the elements, uncorrected comes out at -1036.6 meV per atom. For the total magnetization, the calculation gives 0.0 μB/cell.

Record 11
Entry from the Alexandria database: a geometry-optimized Ca2TbThSe4 structure (PBE-GGA).

CIF file:
```
data_Ca2TbThSe4
_chemical_formula_sum 'Ca2 Tb1 Th1 Se4'
_cell_length_a 7.1370
_cell_length_b 4.1035
_cell_length_c 7.3941
_cell_angle_alpha 90.00
_cell_angle_beta 108.57
_cell_angle_gamma 90.00
_space_group_name_H-M_alt 'P 1'
_space_group_IT_number 1
loop_
_space_group_symop_operation_xyz
'x,y,z'
loop_
_atom_site_label
_atom_site_type_symbol
_atom_site_fract_x
_atom_site_fract_y
_atom_site_fract_z
_atom_site_occupancy
Ca1 Ca 0.0000 0.0000 0.0000 1
Ca2 Ca 0.5000 0.5000 0.0000 1
Tb1 Tb 0.0000 0.5000 0.5000 1
Th1 Th 0.5000 0.0000 0.5000 1
Se1 Se 0.2430 0.5000 0.2436 1
Se2 Se 0.2454 0.0000 0.7504 1
Se3 Se 0.7546 0.0000 0.2496 1
Se4 Se 0.7570 0.5000 0.7564 1
```

As for the uncorrected energy: -5.53 eV/atom. The value obtained for the volume is 205.3 Å³/cell. The crystal system is monoclinic. Its space-group type is No. 10. The energy relative to the elements, uncorrected comes out at -1779.0 meV per atom. For the total magnetization, the calculation gives 0.0 μB/cell.

Record 12
Entry from the Alexandria database: a geometry-optimized AcGe2Rh4 structure (PBE-GGA).

CIF file:
```
data_AcGe2Rh4
_chemical_formula_sum 'Ac4 Ge8 Rh16'
_cell_length_a 17.5425
_cell_length_b 4.1875
_cell_length_c 6.7768
_cell_angle_alpha 90.00
_cell_angle_beta 90.00
_cell_angle_gamma 90.00
_space_group_name_H-M_alt 'P 1'
_space_group_IT_number 1
loop_
_space_group_symop_operation_xyz
'x,y,z'
loop_
_atom_site_label
_atom_site_type_symbol
_atom_site_fract_x
_atom_site_fract_y
_atom_site_fract_z
_atom_site_occupancy
Ac1 Ac 0.1393 0.2500 0.0042 1
Ac2 Ac 0.3607 0.7500 0.5042 1
Ac3 Ac 0.6393 0.2500 0.4958 1
Ac4 Ac 0.8607 0.7500 0.9958 1
Ge1 Ge 0.0352 0.7500 0.7279 1
Ge2 Ge 0.2092 0.2500 0.4743 1
Ge3 Ge 0.2908 0.7500 0.9743 1
Ge4 Ge 0.4648 0.2500 0.2279 1
Ge5 Ge 0.5352 0.7500 0.7721 1
Ge6 Ge 0.7092 0.2500 0.0257 1
Ge7 Ge 0.7908 0.7500 0.5257 1
Ge8 Ge 0.9648 0.2500 0.2721 1
Rh1 Rh 0.0281 0.7500 0.1342 1
Rh2 Rh 0.0687 0.2500 0.5214 1
Rh3 Rh 0.1799 0.7500 0.6791 1
Rh4 Rh 0.2065 0.7500 0.2723 1
Rh5 Rh 0.2935 0.2500 0.7723 1
Rh6 Rh 0.3201 0.2500 0.1791 1
Rh7 Rh 0.4313 0.7500 0.0214 1
Rh8 Rh 0.4719 0.2500 0.6342 1
Rh9 Rh 0.5281 0.7500 0.3658 1
Rh10 Rh 0.5687 0.2500 0.9786 1
Rh11 Rh 0.6799 0.7500 0.8209 1
Rh12 Rh 0.7065 0.7500 0.2277 1
Rh13 Rh 0.7935 0.2500 0.7277 1
Rh14 Rh 0.8201 0.2500 0.3209 1
Rh15 Rh 0.9313 0.7500 0.4786 1
Rh16 Rh 0.9719 0.2500 0.8658 1
```

As for the uncorrected energy: -6.70 eV/atom. The value obtained for the volume is 497.8 Å³/cell. The crystal system is orthorhombic. Its space-group type is No. 62. Its energy above the lowest structure with this stoichiometry is 34 meV per atom. For the total magnetization, the calculation gives 0.0 μB/cell.